The following is a DFT calculation (GGA-PBE) of a geometry-optimized ZnAsW2 structure.

Lattice parameters (Å, degrees): 3.2018 4.7005 8.4556 90.00 90.00 90.00
Closest atoms and distances in Å follow each position.
Space group Cmmm (No. 65)
Inequivalent atoms, fractional coordinates:
Zn  0.0000  0.0000  0.0000 (multiplicity 2)  4 W 2.72, 4 Zn 2.84
As  0.0000  0.0000  0.5000 (multiplicity 2)  4 W 2.58, 4 As 2.84
W  0.0000  0.5000  0.2605 (multiplicity 4)  2 As 2.58, 2 Zn 2.72, 4 W 2.84

Summary:
As for the crystal system: orthorhombic. As for the magnetic moment: 0.000 μB per cell. For the formation energy from the elements, the calculation gives 0.537 eV per atom.

---

The following is a DFT calculation (GGA-PBE) of a geometry-optimized ZnAsW2 structure.

Lattice parameters (Å, degrees): 9.2813 3.0199 4.5562 90.00 105.44 90.00
Closest atoms and distances in Å follow each position.
Space group Cm (No. 8)
Inequivalent atoms, fractional coordinates:
Zn  0.0000  0.0000  0.0000 (multiplicity 2)  7 W 2.66-2.74, 2 As 2.84
As  0.2496  0.0000  0.6702 (multiplicity 2)  7 W 2.62-2.74, 2 Zn 2.84
W  0.0108  0.5000  0.5032 (multiplicity 2)  3 As 2.62-2.73, 4 Zn 2.72-2.74
W  0.2467  0.5000  0.1667 (multiplicity 2)  3 Zn 2.66-2.68, 4 As 2.73-2.74, 2 W 2.94

Summary:
As for the crystal system: monoclinic. As for the magnetic moment: 0.000 μB per cell. For the formation energy from the elements, the calculation gives 0.388 eV per atom.

---

The following is a DFT calculation (GGA-PBE) of a geometry-optimized Zn2AsW structure.

Lattice parameters (Å, degrees): 2.9353 2.9353 26.1590 90.00 90.00 120.00
Closest atoms and distances in Å follow each position.
Space group R-3m (No. 166, hexagonal axes)
Inequivalent atoms, fractional coordinates:
Zn  0.0000  0.0000  0.2492 (multiplicity 6)  3 W 2.75, 3 As 2.78, 6 Zn 2.94
As  0.0000  0.0000  0.0000 (multiplicity 3)  6 Zn 2.78, 6 As 2.94
W  0.0000  0.0000  0.5000 (multiplicity 3)  6 Zn 2.75, 6 W 2.94

Summary:
As for the crystal system: trigonal. As for the magnetic moment: 0.000 μB per cell. For the formation energy from the elements, the calculation gives 0.325 eV per atom.

---

The following is a DFT calculation (GGA-PBE) of a geometry-optimized ZnAsW2 structure.

Lattice parameters (Å, degrees): 3.2548 4.5335 9.2461 90.00 90.00 90.00
Closest atoms and distances in Å follow each position.
Space group Cmm2 (No. 35)
Inequivalent atoms, fractional coordinates:
Zn  0.0000  0.0000  0.0000 (multiplicity 2)  2 W 2.69, 4 Zn 2.79
As  0.0000  0.5000  0.3040 (multiplicity 2)  2 W 2.69, 4 As 2.79
W  0.0000  0.0000  0.5353 (multiplicity 2)  2 As 2.69, 6 W 2.70-2.79
W  0.0000  0.5000  0.7688 (multiplicity 2)  2 Zn 2.69, 6 W 2.70-2.79

Summary:
As for the crystal system: orthorhombic. As for the magnetic moment: 0.000 μB per cell. For the formation energy from the elements, the calculation gives 0.296 eV per atom.

---

The following is a DFT calculation (GGA-PBE) of a geometry-optimized ZnAsW2 structure.

Lattice parameters (Å, degrees): 3.0365 3.0365 6.6397 90.00 90.00 90.00
Closest atoms and distances in Å follow each position.
Space group P4/mmm (No. 123)
Inequivalent atoms, fractional coordinates:
Zn  0.0000  0.0000  0.0000 (multiplicity 1)  8 W 2.77, 4 Zn 3.04
As  0.0000  0.0000  0.5000 (multiplicity 1)  8 W 2.66
W  0.5000  0.5000  0.2636 (multiplicity 2)  4 As 2.66, 4 Zn 2.77

Summary:
As for the crystal system: tetragonal. As for the magnetic moment: 0.000 μB per cell. For the formation energy from the elements, the calculation gives 0.461 eV per atom.

---

The following is a DFT calculation (GGA-PBE) of a geometry-optimized ZnAsW structure.

Lattice parameters (Å, degrees): 3.2434 3.2434 8.8097 90.00 90.00 90.00
Closest atoms and distances in Å follow each position.
Space group I4mm (No. 107)
Inequivalent atoms, fractional coordinates:
Zn  0.0000  0.0000  0.0000 (multiplicity 2)  5 As 2.76-2.87, 5 W 2.78-2.83
As  0.0000  0.0000  0.3254 (multiplicity 2)  4 W 2.63, 5 Zn 2.76-2.87
W  0.0000  0.0000  0.6790 (multiplicity 2)  4 As 2.63, 5 Zn 2.78-2.83

Summary:
As for the crystal system: tetragonal. As for the magnetic moment: 0.000 μB per cell. For the formation energy from the elements, the calculation gives 0.175 eV per atom.

---

The following is a DFT calculation (GGA-PBE) of a geometry-optimized ZnAsW structure.

Lattice parameters (Å, degrees): 3.0505 3.0505 6.3420 90.00 90.00 120.00
Closest atoms and distances in Å follow each position.
Space group P3m1 (No. 156)
Inequivalent atoms, fractional coordinates:
Zn  0.0000  0.0000  0.0000 (multiplicity 1)  3 W 2.76, 3 As 2.95, 6 Zn 3.05
As  0.3333  0.6667  0.3733 (multiplicity 1)  3 W 2.55
W  0.6667  0.3333  0.6645 (multiplicity 1)  3 As 2.55, 3 Zn 2.76

Summary:
As for the crystal system: trigonal. As for the magnetic moment: 0.000 μB per cell. For the formation energy from the elements, the calculation gives 0.300 eV per atom.

---

The following is a DFT calculation (GGA-PBE) of a geometry-optimized ZnAsW2 structure.

Lattice parameters (Å, degrees): 2.8099 4.2733 5.3191 90.00 96.85 90.00
Closest atoms and distances in Å follow each position.
Space group P2/m (No. 10)
Inequivalent atoms, fractional coordinates:
Zn  0.0000  0.0000  0.0000 (multiplicity 1)  4 W 2.70, 2 Zn 2.81, 2 As 2.86
As  0.5000  0.0000  0.5000 (multiplicity 1)  4 W 2.63, 2 As 2.81, 2 Zn 2.86
W  0.3160  0.5000  0.7585 (multiplicity 2)  2 As 2.63, 3 W 2.65-2.81, 2 Zn 2.70

Summary:
As for the crystal system: monoclinic. As for the magnetic moment: 0.000 μB per cell. For the formation energy from the elements, the calculation gives 0.452 eV per atom.